1.
# MgBeAl PBE optimized geometry
# E_tot (eV/cell): -17.62
# Energy of formation from the pure elements (eV/f.u.): 0.25
# Space-group type: C2/m, No. 12
data_MgBeAl
_chemical_formula_sum 'Mg2 Be2 Al2'
_symmetry_space_group_name_H-M 'P 1'
_symmetry_Int_Tables_number 1
_cell_length_a 5.003
_cell_length_b 5.003
_cell_length_c 6.857
_cell_angle_alpha 121.95
_cell_angle_beta 121.95
_cell_angle_gamma 41.52
loop_
_symmetry_equiv_pos_as_xyz
'x,y,z'
loop_
_atom_site_label
_atom_site_type_symbol
_atom_site_fract_x
_atom_site_fract_y
_atom_site_fract_z
Mg1 Mg 0.085 0.085 0.347
Mg2 Mg 0.915 0.915 0.653
Be1 Be 0.371 0.371 0.328
Be2 Be 0.629 0.629 0.672
Al1 Al 0.327 0.327 0.932
Al2 Al 0.673 0.673 0.068

2.
# Mg16BeAl12 PBE optimized geometry
# E_tot (eV/cell): -73.90
# Energy of formation from the pure elements (eV/f.u.): 0.25
# Space-group type: R3m, No. 160
data_Mg16BeAl12
_chemical_formula_sum 'Mg16 Be1 Al12'
_symmetry_space_group_name_H-M 'P 1'
_symmetry_Int_Tables_number 1
_cell_length_a 9.013
_cell_length_b 9.013
_cell_length_c 9.013
_cell_angle_alpha 109.09
_cell_angle_beta 109.09
_cell_angle_gamma 109.09
loop_
_symmetry_equiv_pos_as_xyz
'x,y,z'
loop_
_atom_site_label
_atom_site_type_symbol
_atom_site_fract_x
_atom_site_fract_y
_atom_site_fract_z
Mg1 Mg 0.000 0.000 0.000
Mg2 Mg 0.008 0.008 0.659
Mg3 Mg 0.008 0.659 0.008
Mg4 Mg 0.011 0.411 0.688
Mg5 Mg 0.011 0.688 0.411
Mg6 Mg 0.305 0.583 0.583
Mg7 Mg 0.322 0.322 0.726
Mg8 Mg 0.322 0.726 0.322
Mg9 Mg 0.411 0.011 0.688
Mg10 Mg 0.411 0.688 0.011
Mg11 Mg 0.583 0.305 0.583
Mg12 Mg 0.583 0.583 0.305
Mg13 Mg 0.659 0.008 0.008
Mg14 Mg 0.688 0.011 0.411
Mg15 Mg 0.688 0.411 0.011
Mg16 Mg 0.726 0.322 0.322
Be1 Be 0.284 0.284 0.284
Al1 Al 0.009 0.190 0.371
Al2 Al 0.009 0.371 0.190
Al3 Al 0.190 0.009 0.371
Al4 Al 0.190 0.371 0.009
Al5 Al 0.202 0.819 0.819
Al6 Al 0.371 0.009 0.190
Al7 Al 0.371 0.190 0.009
Al8 Al 0.652 0.652 0.841
Al9 Al 0.652 0.841 0.652
Al10 Al 0.819 0.202 0.819
Al11 Al 0.819 0.819 0.202
Al12 Al 0.841 0.652 0.652

3.
# Mg2BeAl PBE optimized geometry
# E_tot (eV/cell): -10.00
# Energy of formation from the pure elements (eV/f.u.): 0.66
# Space-group type: Pm, No. 6
data_Mg2BeAl
_chemical_formula_sum 'Mg2 Be1 Al1'
_symmetry_space_group_name_H-M 'P 1'
_symmetry_Int_Tables_number 1
_cell_length_a 3.341
_cell_length_b 4.142
_cell_length_c 5.396
_cell_angle_alpha 90.00
_cell_angle_beta 107.81
_cell_angle_gamma 90.00
loop_
_symmetry_equiv_pos_as_xyz
'x,y,z'
loop_
_atom_site_label
_atom_site_type_symbol
_atom_site_fract_x
_atom_site_fract_y
_atom_site_fract_z
Mg1 Mg 0.000 0.000 0.000
Mg2 Mg 0.324 0.500 0.655
Be1 Be 0.729 0.000 0.458
Al1 Al 0.605 0.500 0.213

4.
# Mg2BeAl PBE optimized geometry
# E_tot (eV/cell): -20.23
# Energy of formation from the pure elements (eV/f.u.): 0.54
# Space-group type: P2, No. 3
data_Mg2BeAl
_chemical_formula_sum 'Mg4 Be2 Al2'
_symmetry_space_group_name_H-M 'P 1'
_symmetry_Int_Tables_number 1
_cell_length_a 5.284
_cell_length_b 4.947
_cell_length_c 6.091
_cell_angle_alpha 90.00
_cell_angle_beta 115.76
_cell_angle_gamma 90.00
loop_
_symmetry_equiv_pos_as_xyz
'x,y,z'
loop_
_atom_site_label
_atom_site_type_symbol
_atom_site_fract_x
_atom_site_fract_y
_atom_site_fract_z
Mg1 Mg 0.000 0.000 0.000
Mg2 Mg 0.172 0.538 0.346
Mg3 Mg 0.500 0.321 0.000
Mg4 Mg 0.828 0.538 0.654
Be1 Be 0.405 0.814 0.809
Be2 Be 0.595 0.814 0.191
Al1 Al 0.000 0.041 0.500
Al2 Al 0.500 0.041 0.500

5.
# Mg2BeAl PBE optimized geometry
# E_tot (eV/cell): -9.85
# Energy of formation from the pure elements (eV/f.u.): 0.80
# Space-group type: Cm, No. 8
data_Mg2BeAl
_chemical_formula_sum 'Mg2 Be1 Al1'
_symmetry_space_group_name_H-M 'P 1'
_symmetry_Int_Tables_number 1
_cell_length_a 5.416
_cell_length_b 5.416
_cell_length_c 4.888
_cell_angle_alpha 106.83
_cell_angle_beta 106.83
_cell_angle_gamma 30.69
loop_
_symmetry_equiv_pos_as_xyz
'x,y,z'
loop_
_atom_site_label
_atom_site_type_symbol
_atom_site_fract_x
_atom_site_fract_y
_atom_site_fract_z
Mg1 Mg 0.000 0.000 0.000
Mg2 Mg 0.202 0.202 0.656
Be1 Be 0.462 0.462 0.491
Al1 Al 0.772 0.772 0.207

6.
# MgBeAl PBE optimized geometry
# E_tot (eV/cell): -17.43
# Energy of formation from the pure elements (eV/f.u.): 0.35
# Space-group type: C2/m, No. 12
data_MgBeAl
_chemical_formula_sum 'Mg2 Be2 Al2'
_symmetry_space_group_name_H-M 'P 1'
_symmetry_Int_Tables_number 1
_cell_length_a 6.072
_cell_length_b 6.072
_cell_length_c 4.720
_cell_angle_alpha 106.91
_cell_angle_beta 106.91
_cell_angle_gamma 35.80
loop_
_symmetry_equiv_pos_as_xyz
'x,y,z'
loop_
_atom_site_label
_atom_site_type_symbol
_atom_site_fract_x
_atom_site_fract_y
_atom_site_fract_z
Mg1 Mg 0.134 0.134 0.315
Mg2 Mg 0.866 0.866 0.685
Be1 Be 0.223 0.223 0.888
Be2 Be 0.777 0.777 0.112
Al1 Al 0.422 0.422 0.210
Al2 Al 0.578 0.578 0.790